No. 1
First-principles (PBE with a Hubbard U) data for BaCrCdF7 after structural relaxation, as listed in the Alexandria database.

Output
- electronic total energy (eV/atom) = -5.300
- Fermi-level density of states (states/eV/f.u.) = 0.000
- theoretical density (g/cm³) = 4.88

a = 14.1755 Å, b = 5.4590 Å, c = 15.2998 Å
α = 90.00°, β = 91.27°, γ = 90.00°
Space group C2/c (No. 15)
Asymmetric unit:
Ba  0.1890  0.0365  0.1254
Cr  0.1239  0.0144  0.8752
Cd  0.0000  0.4613  0.7500
Cd  0.0000  0.5000  0.0000
F  0.0045  0.1239  0.6537
F  0.0596  0.3902  0.1274
F  0.0899  0.1607  0.4814
F  0.1219  0.2665  0.2973
F  0.1386  0.3027  0.9517
F  0.1647  0.2188  0.7776
F  0.2467  0.4393  0.5963

=====

No. 2
First-principles (PBE with a Hubbard U) data for BaCr2CdF8 after structural relaxation, as listed in the Alexandria database.

Output
- electronic total energy (eV/atom) = -5.519
- Fermi-level density of states (states/eV/f.u.) = 0.000
- theoretical density (g/cm³) = 4.36

a = 4.3613 Å, b = 5.4040 Å, c = 8.2741 Å
α = 83.26°, β = 89.93°, γ = 83.91°
Space group P-1 (No. 2)
Asymmetric unit:
Ba  0.0000  0.0000  0.0000
Cr  0.4946  0.5088  0.2869
Cd  0.0000  0.0000  0.5000
F  0.1091  0.7468  0.3030
F  0.1377  0.7417  0.7430
F  0.3953  0.2636  0.4795
F  0.4463  0.2761  0.9236

=====

No. 3
First-principles (PBE with a Hubbard U) data for BaCrCdF6 after structural relaxation, as listed in the Alexandria database.

Output
- electronic total energy (eV/atom) = -5.262
- Fermi-level density of states (states/eV/f.u.) = 0.000
- theoretical density (g/cm³) = 4.21

a = 5.9869 Å, b = 9.7921 Å, c = 5.6025 Å
α = 90.00°, β = 92.18°, γ = 90.00°
Space group C2 (No. 5)
Asymmetric unit:
Ba  0.0000  0.0000  0.0000
Cr  0.0000  0.6735  0.5000
Cd  0.0000  0.3335  0.5000
F  0.1425  0.5197  0.7018
F  0.1684  0.8203  0.6959
F  0.1822  0.1895  0.7420